1.
CoPtAu2 after structural relaxation. Source: Alexandria via LeMat-Bulk, functional PBE.

Calculated values
As for the space group: P2/m, No. 10.

a = 2.7862 Å, b = 4.7563 Å, c = 4.8668 Å
α = 90.00°, β = 91.74°, γ = 90.00°
Last column: nearest neighbours and their distance in Å.
Fractional positions:
Co  0.0000  0.0000  0.0000  4 Au 2.75, 4 Pt 2.77-2.84, 2 Co 2.79
Pt  0.5000  0.0000  0.5000  4 Co 2.77-2.84, 4 Au 2.79, 2 Pt 2.79
Au  0.2415  0.5000  0.7541  2 Co 2.75, 6 Au 2.76-2.90, 2 Pt 2.79
Au  0.7585  0.5000  0.2459  2 Co 2.75, 6 Au 2.76-2.90, 2 Pt 2.79

=====

2.
Co2PtAu after structural relaxation. Source: Alexandria via LeMat-Bulk, functional PBE.

Calculated values
As for the space group: Pmmm, No. 47.

a = 2.7446 Å, b = 3.7561 Å, c = 5.4857 Å
α = 90.00°, β = 90.00°, γ = 90.00°
Last column: nearest neighbours and their distance in Å.
Fractional positions:
Co  0.0000  0.0000  0.2296  3 Co 2.52-2.74, 4 Pt 2.64, 4 Au 2.76
Co  0.0000  0.0000  0.7704  3 Co 2.52-2.74, 4 Pt 2.64, 4 Au 2.76
Pt  0.5000  0.5000  0.0000  8 Co 2.64, 2 Au 2.74, 2 Pt 2.74
Au  0.5000  0.5000  0.5000  2 Pt 2.74, 2 Au 2.74, 8 Co 2.76

=====

3.
Co2PtAu after structural relaxation. Source: Alexandria via LeMat-Bulk, functional PBE.

Calculated values
As for the space group: C2/m, No. 12.

a = 4.5967 Å, b = 4.5967 Å, c = 4.8270 Å
α = 99.74°, β = 99.74°, γ = 34.83°
Last column: nearest neighbours and their distance in Å.
Fractional positions:
Co  0.2469  0.2469  0.2222  4 Co 2.56-2.75, 3 Pt 2.63, 3 Au 2.74-2.75
Co  0.7531  0.7531  0.7778  4 Co 2.56-2.75, 3 Pt 2.63, 3 Au 2.74-2.75
Pt  0.5000  0.5000  0.0000  6 Co 2.63, 2 Pt 2.75, 4 Au 2.78
Au  0.0000  0.0000  0.5000  6 Co 2.74-2.75, 2 Au 2.75, 4 Pt 2.78

=====

How do the records compare in size of the total moment? In the order shown, they have 0.52; 1.04; 1.00 μB per atom.
How do the records compare in formation enthalpy at 0 K? In the order shown, they have 218; 87; 156 meV/atom.
How do the records compare in E_tot? In the order shown, they have -4.71; -5.80; -5.73 eV per atom.